Ca2Pr6Sm5: relaxed, PBE.

Energy of formation from the pure elements   0.12 eV per atom
D(E_F)   38.442 states/eV per cell
Size of the total moment   0.00 μB/f.u.

Cell: 3.644 12.282 21.022 Å, 90.00 90.00 90.00°
Sites, in units of the cell vectors:
1 Pr 0.000 0.071 0.362
2 Sm 0.500 0.500 0.000
3 Pr 0.000 0.929 0.638
4 Pr 0.000 0.951 0.923
5 Ca 0.000 0.335 0.285
6 Sm 0.500 0.790 0.051
7 Ca 0.000 0.665 0.715
8 Sm 0.500 0.405 0.720
9 Pr 0.000 0.571 0.138
10 Sm 0.500 0.710 0.551
11 Pr 0.500 0.812 0.379
12 Ca 0.000 0.835 0.215
13 Pr 0.000 0.049 0.077
14 Pr 0.000 0.429 0.862
15 Pr 0.500 0.312 0.121
16 Pr 0.000 0.549 0.423
17 Pr 0.500 0.688 0.879
18 Sm 0.500 0.290 0.449
19 Sm 0.500 0.905 0.780
20 Pr 0.000 0.451 0.577
21 Pr 0.500 0.188 0.621
22 Sm 0.500 0.210 0.949
23 Sm 0.500 0.000 0.500
24 Sm 0.500 0.095 0.220
25 Sm 0.500 0.595 0.280
26 Ca 0.000 0.165 0.785